# 1
! Tb5Ga4Hg (PBE, relaxed); values from VASP
! * crystal system: tetragonal
! * mass density: 8.939 Mg/m³
! * SG: P4/mmm
! * E_form: -565 meV/atom
&SYSTEM
  ibrav = 0, nat = 10, ntyp = 3
/
ATOMIC_SPECIES
Tb 158.93 Tb.upf
Ga 69.72 Ga.upf
Hg 200.59 Hg.upf
CELL_PARAMETERS angstrom
3.598 0.000 0.000
0.000 3.598 0.000
0.000 0.000 18.282
ATOMIC_POSITIONS crystal
Tb 0.000 0.000 0.000
Tb 0.000 0.000 0.195
Tb 0.000 0.000 0.390
Tb 0.000 0.000 0.610
Tb 0.000 0.000 0.805
Ga 0.500 0.500 0.097
Ga 0.500 0.500 0.294
Ga 0.500 0.500 0.706
Ga 0.500 0.500 0.903
Hg 0.500 0.500 0.500


# 2
! InBi (PBE, relaxed); values from VASP
! * crystal system: tetragonal
! * mass density: 8.837 Mg/m³
! * SG: P4/mmm
! * E_form: 43 meV/atom
&SYSTEM
  ibrav = 0, nat = 2, ntyp = 2
/
ATOMIC_SPECIES
In 114.82 In.upf
Bi 208.98 Bi.upf
CELL_PARAMETERS angstrom
3.404 0.000 0.000
0.000 3.404 0.000
0.000 0.000 5.251
ATOMIC_POSITIONS crystal
In 0.000 0.000 0.000
Bi 0.500 0.500 0.500


> Number 2 is which compound?

InBi